## Mg3AlGa12 (PBE)

Data for crystalline Mg3AlGa12 at its relaxed geometry.

a = 4.2625 Å, b = 4.2625 Å, c = 16.1711 Å
α = 90.00°, β = 90.00°, γ = 90.00°
Atoms (fractional coordinates):
Mg (0.0000, 0.0000, 0.0000)
Mg (0.0000, 0.0000, 0.2502)
Mg (0.0000, 0.0000, 0.7498)
Al (0.0000, 0.0000, 0.5000)
Ga (0.0000, 0.5000, 0.1253)
Ga (0.0000, 0.5000, 0.3773)
Ga (0.0000, 0.5000, 0.6227)
Ga (0.0000, 0.5000, 0.8747)
Ga (0.5000, 0.0000, 0.1253)
Ga (0.5000, 0.0000, 0.3773)
Ga (0.5000, 0.0000, 0.6227)
Ga (0.5000, 0.0000, 0.8747)
Ga (0.5000, 0.5000, 0.0000)
Ga (0.5000, 0.5000, 0.2514)
Ga (0.5000, 0.5000, 0.5000)
Ga (0.5000, 0.5000, 0.7486)

Values from the calculation:
Mass density ... 5.29 Mg/m³
E_tot ... -45.9 eV per formula unit
Size of the total moment ... 0.0 μB per cell
Calculated formation energy ... -64 meV/atom

## NaPuIBr2 (PBE)

Data for crystalline NaPuIBr2 at its relaxed geometry.

a = 8.1659 Å, b = 8.1659 Å, c = 8.1659 Å
α = 144.94°, β = 144.94°, γ = 50.42°
Atoms (fractional coordinates):
Na (0.0000, 0.0000, 0.0000)
Pu (0.7169, 0.7169, 0.0000)
I (0.3280, 0.3280, 0.0000)
Br (0.1024, 0.6024, 0.5000)
Br (0.6024, 0.1024, 0.5000)

Values from the calculation:
Mass density ... 5.14 Mg/m³
Formation energy (no corrections) ... -1.143 eV/atom
E_tot ... -26.3 eV per formula unit
Size of the total moment ... 6.0 μB per cell

## Cu2TcBr (PBE)

Data for crystalline Cu2TcBr at its relaxed geometry.

a = 2.8360 Å, b = 4.3039 Å, c = 5.3755 Å
α = 90.00°, β = 105.23°, γ = 90.00°
Atoms (fractional coordinates):
Cu (0.0000, 0.0000, 0.0000)
Cu (0.1199, 0.5000, 0.2359)
Tc (0.4003, 0.5000, 0.7982)
Br (0.2732, 0.0000, 0.5422)

Values from the calculation:
Mass density ... 8.00 Mg/m³
Formation energy (no corrections) ... 0.634 eV/atom
Energy above the lowest structure with this stoichiometry ... 0.49 eV per formula unit
E_tot ... -17.7 eV per formula unit
Size of the total moment ... 0.0 μB per cell

## MnIn5 (PBE)

Data for crystalline MnIn5 at its relaxed geometry.

a = 6.0929 Å, b = 6.0929 Å, c = 6.0929 Å
α = 60.00°, β = 60.00°, γ = 60.00°
Atoms (fractional coordinates):
Mn (0.0000, 0.0000, 0.0000)
In (0.3748, 0.3748, 0.3748)
In (0.3748, 0.3748, 0.8757)
In (0.3748, 0.8757, 0.3748)
In (0.7500, 0.7500, 0.7500)
In (0.8757, 0.3748, 0.3748)

Values from the calculation:
Mass density ... 6.53 Mg/m³
E_tot ... -20.6 eV per formula unit
Size of the total moment ... 4.2 μB per cell
Calculated formation energy ... 383 meV/atom

## Ca2NiRu2 (PBE)

Data for crystalline Ca2NiRu2 at its relaxed geometry.

a = 6.4806 Å, b = 6.4806 Å, c = 4.6611 Å
α = 90.00°, β = 90.00°, γ = 90.00°
Atoms (fractional coordinates):
Ca (0.1792, 0.3208, 0.0000)
Ca (0.3208, 0.8208, 0.0000)
Ca (0.6792, 0.1792, 0.0000)
Ca (0.8208, 0.6792, 0.0000)
Ni (0.0000, 0.0000, 0.5000)
Ni (0.5000, 0.5000, 0.5000)
Ru (0.1304, 0.6304, 0.5000)
Ru (0.3696, 0.1304, 0.5000)
Ru (0.6304, 0.8696, 0.5000)
Ru (0.8696, 0.3696, 0.5000)

Values from the calculation:
Mass density ... 5.78 Mg/m³
E_tot ... -27.3 eV per formula unit
Size of the total moment ... 3.7 μB per cell
Calculated formation energy ... 198 meV/atom

## BaNa2NiH6 (PBE)

Data for crystalline BaNa2NiH6 at its relaxed geometry.

a = 5.0681 Å, b = 5.0681 Å, c = 6.7692 Å
α = 90.00°, β = 90.00°, γ = 120.00°
Atoms (fractional coordinates):
Ba (0.0000, 0.0000, 0.0000)
Na (0.3333, 0.6667, 0.5952)
Na (0.6667, 0.3333, 0.4048)
Ni (0.0000, 0.0000, 0.5000)
H (0.1414, 0.2829, 0.3579)
H (0.1414, 0.8586, 0.3579)
H (0.2829, 0.1414, 0.6421)
H (0.7171, 0.8586, 0.3579)
H (0.8586, 0.1414, 0.6421)
H (0.8586, 0.7171, 0.6421)

Values from the calculation:
Mass density ... 2.74 Mg/m³
E_tot ... -32.3 eV per formula unit
Size of the total moment ... 0.0 μB per cell

## LiIrRh4 (PBE)

Data for crystalline LiIrRh4 at its relaxed geometry.

a = 4.6855 Å, b = 4.6855 Å, c = 9.1451 Å
α = 104.47°, β = 104.47°, γ = 60.07°
Atoms (fractional coordinates):
Li (0.0000, 0.5000, 0.0000)
Li (0.5000, 0.0000, 0.5000)
Ir (0.0831, 0.9169, 0.2500)
Ir (0.9169, 0.0831, 0.7500)
Rh (0.1588, 0.6757, 0.4977)
Rh (0.2518, 0.4137, 0.7507)
Rh (0.3243, 0.8412, 0.0023)
Rh (0.4137, 0.2518, 0.2507)
Rh (0.5863, 0.7482, 0.7493)
Rh (0.6757, 0.1588, 0.9977)
Rh (0.7482, 0.5863, 0.2493)
Rh (0.8412, 0.3243, 0.5023)

Values from the calculation:
Mass density ... 12.18 Mg/m³
Energy above the lowest structure with this stoichiometry ... 0.00 eV per formula unit
E_tot ... -40.4 eV per formula unit
Size of the total moment ... 0.0 μB per cell
Calculated formation energy ... -41 meV/atom

## In3Ag4 (PBE)

Data for crystalline In3Ag4 at its relaxed geometry.

a = 7.7534 Å, b = 7.7534 Å, c = 7.7534 Å
α = 113.63°, β = 113.63°, γ = 113.63°
Atoms (fractional coordinates):
In (0.0047, 0.7324, 0.6048)
In (0.2676, 0.3952, 0.9953)
In (0.3952, 0.9953, 0.2676)
In (0.6048, 0.0047, 0.7324)
In (0.7324, 0.6048, 0.0047)
In (0.9953, 0.2676, 0.3952)
Ag (0.0000, 0.0000, 0.0000)
Ag (0.0817, 0.5482, 0.2356)
Ag (0.2356, 0.0817, 0.5482)
Ag (0.4518, 0.7644, 0.9183)
Ag (0.5000, 0.5000, 0.5000)
Ag (0.5482, 0.2356, 0.0817)
Ag (0.7644, 0.9183, 0.4518)
Ag (0.9183, 0.4518, 0.7644)

Values from the calculation:
Mass density ... 8.86 Mg/m³
Energy above the lowest structure with this stoichiometry ... 0.17 eV per formula unit
E_tot ... -19.4 eV per formula unit
Size of the total moment ... 0.0 μB per cell
Calculated formation energy ... 28 meV/atom

## CsTl2RuF6 (PBE)

Data for crystalline CsTl2RuF6 at its relaxed geometry.

a = 6.1675 Å, b = 9.4220 Å, c = 7.8157 Å
α = 90.00°, β = 90.00°, γ = 90.00°
Atoms (fractional coordinates):
Cs (0.2500, 0.2500, 0.1645)
Cs (0.7500, 0.7500, 0.8355)
Tl (0.2500, 0.0461, 0.6623)
Tl (0.2500, 0.4539, 0.6623)
Tl (0.7500, 0.5461, 0.3377)
Tl (0.7500, 0.9539, 0.3377)
Ru (0.2500, 0.7500, 0.3231)
Ru (0.7500, 0.2500, 0.6769)
F (0.0078, 0.7500, 0.5020)
F (0.0096, 0.7500, 0.1482)
F (0.2500, 0.5338, 0.3266)
F (0.2500, 0.9662, 0.3266)
F (0.4904, 0.7500, 0.1482)
F (0.4922, 0.7500, 0.5020)
F (0.5078, 0.2500, 0.4980)
F (0.5096, 0.2500, 0.8518)
F (0.7500, 0.0338, 0.6734)
F (0.7500, 0.4662, 0.6734)
F (0.9904, 0.2500, 0.8518)
F (0.9922, 0.2500, 0.4980)

Values from the calculation:
Mass density ... 5.53 Mg/m³
Formation energy (no corrections) ... -1.937 eV/atom
E_tot ... -45.5 eV per formula unit
Size of the total moment ... 2.0 μB per cell

## Gd2ZrBr (PBE)

Data for crystalline Gd2ZrBr at its relaxed geometry.

a = 10.1478 Å, b = 10.1478 Å, c = 10.1478 Å
α = 20.30°, β = 20.30°, γ = 20.30°
Atoms (fractional coordinates):
Gd (0.2468, 0.2468, 0.2468)
Gd (0.7532, 0.7532, 0.7532)
Zr (0.0000, 0.0000, 0.0000)
Br (0.5000, 0.5000, 0.5000)

Values from the calculation:
Mass density ... 7.32 Mg/m³
Formation energy (no corrections) ... -0.477 eV/atom
E_tot ... -40.3 eV per formula unit
Size of the total moment ... 14.9 μB per cell

## Sr2LaMgCu (PBE)

Data for crystalline Sr2LaMgCu at its relaxed geometry.

a = 5.8604 Å, b = 5.8604 Å, c = 5.2355 Å
α = 90.00°, β = 90.00°, γ = 90.00°
Atoms (fractional coordinates):
Sr (0.0000, 0.5000, 0.0000)
Sr (0.5000, 0.0000, 0.0000)
La (0.0000, 0.0000, 0.5000)
Mg (0.5000, 0.5000, 0.5000)
Cu (0.5000, 0.5000, 0.0000)

Values from the calculation:
Mass density ... 3.71 Mg/m³
E_tot ... -13.1 eV per formula unit
Size of the total moment ... 0.0 μB per cell
Calculated formation energy ... 172 meV/atom

Number 3 is which compound? Cu2TcBr

Copy entry 10 word for word.
## Gd2ZrBr (PBE)

Data for crystalline Gd2ZrBr at its relaxed geometry.

a = 10.1478 Å, b = 10.1478 Å, c = 10.1478 Å
α = 20.30°, β = 20.30°, γ = 20.30°
Atoms (fractional coordinates):
Gd (0.2468, 0.2468, 0.2468)
Gd (0.7532, 0.7532, 0.7532)
Zr (0.0000, 0.0000, 0.0000)
Br (0.5000, 0.5000, 0.5000)

Values from the calculation:
Mass density ... 7.32 Mg/m³
Formation energy (no corrections) ... -0.477 eV/atom
E_tot ... -40.3 eV per formula unit
Size of the total moment ... 14.9 μB per cell